1.
A plane-wave DFT calculation with meta-GGA SCAN was carried out for a PBEsol-optimized structure of NiBi2C. Values from VASP.

Quantum ESPRESSO input file:
```
&SYSTEM
  ibrav = 0, nat = 8, ntyp = 3
/
ATOMIC_SPECIES
Bi 208.98 Bi.upf
C 12.01 C.upf
Ni 58.69 Ni.upf
CELL_PARAMETERS angstrom
-4.359 0.735 3.699
1.814 -6.233 -1.115
3.107 -2.506 4.159
ATOMIC_POSITIONS crystal
Bi 0.375 0.250 0.150
Bi 0.875 0.250 0.600
Bi 0.150 0.750 0.875
Bi 0.600 0.750 0.375
C 0.500 0.000 0.500
C 0.250 0.500 0.250
Ni 0.750 0.500 0.750
Ni 0.000 0.000 0.000
```

Output
ρ in Mg/m³: 9.44
Magnetization in μB per formula unit: 0.0
Symmetry: I-42d
Formation energy in eV/atom: 0.985

2.
A plane-wave DFT calculation with meta-GGA SCAN was carried out for a PBEsol-optimized structure of Bi2CO. Values from VASP.

Quantum ESPRESSO input file:
```
&SYSTEM
  ibrav = 0, nat = 4, ntyp = 3
/
ATOMIC_SPECIES
C 12.01 C.upf
O 16.00 O.upf
Bi 208.98 Bi.upf
CELL_PARAMETERS angstrom
4.476 0.000 0.000
2.238 3.877 0.000
2.238 1.292 3.655
ATOMIC_POSITIONS crystal
C 0.000 0.000 0.000
O 0.500 0.500 0.500
Bi 0.250 0.250 0.250
Bi 0.750 0.750 0.750
```

Output
ρ in Mg/m³: 11.68
Magnetization in μB per formula unit: 0.0
Symmetry: Fm-3m
Formation energy from raw total energies in eV per atom: 1.02

3.
A plane-wave DFT calculation with meta-GGA SCAN was carried out for a PBEsol-optimized structure of BiC2O2. Values from VASP.

Quantum ESPRESSO input file:
```
&SYSTEM
  ibrav = 0, nat = 10, ntyp = 3
/
ATOMIC_SPECIES
Bi 208.98 Bi.upf
C 12.01 C.upf
O 16.00 O.upf
CELL_PARAMETERS angstrom
2.479 0.000 0.000
0.000 7.234 0.000
0.000 0.000 7.234
ATOMIC_POSITIONS crystal
Bi 0.000 0.500 0.500
Bi 0.000 0.000 0.000
C 0.000 0.698 0.802
C 0.000 0.198 0.698
C 0.000 0.802 0.302
C 0.000 0.302 0.198
O 0.500 0.879 0.379
O 0.500 0.621 0.879
O 0.500 0.121 0.621
O 0.500 0.379 0.121
```

Output
ρ in Mg/m³: 6.78
Magnetization in μB per formula unit: 0.0
Symmetry: P4/mbm
Formation energy from raw total energies in eV per atom: 0.91

4.
A plane-wave DFT calculation with meta-GGA SCAN was carried out for a PBEsol-optimized structure of Bi3CO. Values from VASP.

Quantum ESPRESSO input file:
```
&SYSTEM
  ibrav = 0, nat = 5, ntyp = 3
/
ATOMIC_SPECIES
Bi 208.98 Bi.upf
C 12.01 C.upf
O 16.00 O.upf
CELL_PARAMETERS angstrom
-4.546 1.537 0.196
-1.302 -4.120 2.097
0.840 1.932 4.316
ATOMIC_POSITIONS crystal
Bi 0.000 0.000 0.500
Bi 0.000 0.500 0.000
Bi 0.500 0.000 0.000
C 0.500 0.500 0.500
O 0.000 0.000 0.000
```

Output
ρ in Mg/m³: 9.82
Magnetization in μB per formula unit: 0.0
Symmetry: Pm-3m
Formation energy from raw total energies in eV per atom: 1.32

Number 1: D(E_F) 0.226 states/eV/atom. Number 2: D(E_F) 0.329 states/eV/atom. Number 3: D(E_F) 0.197 states/eV/atom. Number 4: D(E_F) 0.727 states/eV/atom.